[1]
KMoBr2 | PBE-GGA | relaxed

```
data_KMoBr2
_cell_length_a 3.9074
_cell_length_b 3.9074
_cell_length_c 29.2150
_cell_angle_alpha 90.00
_cell_angle_beta 90.00
_cell_angle_gamma 120.00
_space_group_name_H-M_alt 'R -3 m'
_space_group_IT_number 166
_space_group_name_Hall '-R 3 2"'
loop_
_atom_site_label
_atom_site_type_symbol
_atom_site_fract_x
_atom_site_fract_y
_atom_site_fract_z
K1 K 0.0000 0.0000 0.0000
Mo1 Mo 0.0000 0.0000 0.5000
Br1 Br 0.0000 0.0000 0.1174
```

Computed properties:
uncorrected formation energy	3.5	kJ/mol of atoms
calculated total energy	-3.783	eV/atom
ΔE to the lowest computed polymorph	241	meV per atom

[2]
KMo4Br | PBE-GGA | relaxed

```
data_KMo4Br
_cell_length_a 7.849
_cell_length_b 7.849
_cell_length_c 7.849
_cell_angle_alpha 90.00
_cell_angle_beta 90.00
_cell_angle_gamma 90.00
_space_group_name_H-M_alt 'F -4 3 m'
_space_group_IT_number 216
_space_group_name_Hall 'F -4 2 3'
loop_
_atom_site_label
_atom_site_type_symbol
_atom_site_fract_x
_atom_site_fract_y
_atom_site_fract_z
K1 K 0.000 0.000 0.000
Mo1 Mo 0.118 0.118 0.618
Br1 Br 0.250 0.250 0.250
```

Computed properties:
uncorrected formation energy	123.8	kJ/mol of atoms
calculated total energy	-6.400	eV/atom

[3]
KMoBr2 | PBE-GGA | relaxed

```
data_KMoBr2
_cell_length_a 8.205
_cell_length_b 4.961
_cell_length_c 7.139
_cell_angle_alpha 90.00
_cell_angle_beta 101.52
_cell_angle_gamma 90.00
_space_group_name_H-M_alt 'C 1 2/m 1'
_space_group_IT_number 12
_space_group_name_Hall '-C 2y'
loop_
_atom_site_label
_atom_site_type_symbol
_atom_site_fract_x
_atom_site_fract_y
_atom_site_fract_z
K1 K 0.000 0.000 0.000
Mo1 Mo 0.000 0.500 0.500
Br1 Br 0.204 0.500 0.260
```

Computed properties:
uncorrected formation energy	-17.1	kJ/mol of atoms
calculated total energy	-3.996	eV/atom
ΔE to the lowest computed polymorph	28	meV per atom